(1)
Density functional theory data (PBE) for a geometry-optimized Tl2OsSe structure.

Unit cell a=3.107 b=3.107 c=10.046 alpha=90.00 beta=90.00 gamma=90.00
Fractional coordinates of all 4 atoms:
Tl 0.000 0.000 0.000
Tl 0.500 0.500 0.317
Os 0.000 0.000 0.556
Se 0.500 0.500 0.679

## Properties
**Space-group type**: P4mm
**Uncorrected formation energy**: 311.9 meV/atom

=====

(2)
Density functional theory data (PBE) for a geometry-optimized TlOsSe4 structure.

Unit cell a=6.656 b=7.145 c=7.157 alpha=79.27 beta=73.98 gamma=74.23
Fractional coordinates of all 12 atoms:
Tl 0.161 0.097 0.094
Tl 0.839 0.903 0.906
Os 0.244 0.502 0.502
Os 0.756 0.498 0.498
Se 0.080 0.201 0.522
Se 0.081 0.524 0.201
Se 0.390 0.684 0.692
Se 0.498 0.717 0.293
Se 0.502 0.283 0.707
Se 0.610 0.316 0.308
Se 0.919 0.476 0.799
Se 0.920 0.799 0.478

## Properties
**Space-group type**: P-1
**Uncorrected formation energy**: 124.3 meV/atom

=====

(3)
Density functional theory data (PBE) for a geometry-optimized TlOsSe2 structure.

Unit cell a=3.715 b=3.715 c=26.718 alpha=90.00 beta=90.00 gamma=120.00
Fractional coordinates of all 12 atoms:
Tl 0.000 0.000 0.000
Tl 0.333 0.667 0.667
Tl 0.667 0.333 0.333
Os 0.000 0.000 0.500
Os 0.333 0.667 0.167
Os 0.667 0.333 0.833
Se 0.000 0.000 0.118
Se 0.000 0.000 0.882
Se 0.333 0.667 0.548
Se 0.333 0.667 0.785
Se 0.667 0.333 0.215
Se 0.667 0.333 0.452

## Properties
**Space-group type**: R-3m
**Uncorrected formation energy**: 51.6 meV/atom

=====

(4)
Density functional theory data (PBE) for a geometry-optimized TlOsSe2 structure.

Unit cell a=4.751 b=3.305 c=5.132 alpha=90.00 beta=105.66 gamma=90.00
Fractional coordinates of all 4 atoms:
Tl 0.000 0.000 0.000
Os 0.500 0.500 0.000
Se 0.000 0.500 0.500
Se 0.500 0.000 0.500

## Properties
**Space-group type**: P2/m
**Uncorrected formation energy**: 931.5 meV/atom